No. 1
Na2MoRu: relaxed, PBE.

Cell: 8.286 8.286 6.344 Å, 49.23 49.23 90.00°
Site moments in Bohr magnetons follow the coordinates.
Fractional coordinates of all 8 atoms:
Mo 0.500 0.500 0.000  1.94
Mo 0.250 0.750 0.500  1.94
Ru 0.750 0.250 0.500  0.41
Ru 0.000 0.000 0.000  0.41
Na 0.875 0.901 0.750  0.00
Na 0.651 0.125 0.250  0.00
Na 0.375 0.349 0.750  0.00
Na 0.099 0.625 0.250  0.00

Computed properties:
E_tot ... -0.316 Ry per atom
Space group ... I-42d (122)
Energy above the most stable polymorph in this dataset ... 0 meV per atom
Formation energy from the elements ... 5.56 eV per formula unit
Crystal system ... tetragonal

---

No. 2
NpPRhSe: relaxed, PBE.

Cell: 3.964 3.964 9.361 Å, 90.00 90.00 90.00°
Site moments in Bohr magnetons follow the coordinates.
Fractional coordinates of all 8 atoms:
Np 0.500 0.000 0.734  3.63
Np 0.000 0.500 0.266  3.63
Se 0.500 0.500 0.500  -0.06
Se 0.000 0.000 0.500  -0.06
Rh 0.000 0.000 0.000  0.07
Rh 0.500 0.500 0.000  0.07
P 0.500 0.000 0.153  -0.02
P 0.000 0.500 0.847  -0.02

Computed properties:
E_tot ... -0.593 Ry per atom
Space group ... P4/nmm (129)
ΔE_f (raw) ... -0.7653 eV/atom
Crystal system ... tetragonal

---

No. 3
SrCrIr2: relaxed, PBE.

Cell: 5.967 5.967 5.967 Å, 151.76 130.90 57.61°
Site moments in Bohr magnetons follow the coordinates.
Fractional coordinates of all 4 atoms:
Cr 0.212 0.712 0.500  3.15
Sr 0.506 0.506 0.000  0.01
Ir 0.784 0.284 0.500  -0.32
Ir 0.997 0.997 0.000  -0.14

Computed properties:
E_tot ... -0.503 Ry per atom
Space group ... Imm2 (44)
Energy above the most stable polymorph in this dataset ... 387 meV per atom
Formation energy from the elements ... 1.65 eV per formula unit
Crystal system ... orthorhombic

---

Number 1: total magnetization 5.5 Bohr magnetons per cell. Number 2: total magnetization 7.7 Bohr magnetons per cell. Number 3: total magnetization 3.1 Bohr magnetons per cell.